[1]
First-principles (PBEsol) data for an optimized crystal structure of CrRe3, as listed in Alexandria.

Cell lengths 2.886, 4.461, 5.058 Å; angles 116.17, 106.58, 90.00 degrees
Positions (direct):
Re1 0.730 0.357 0.460
Re2 0.270 0.897 0.540
Re3 0.500 0.546 0.000
Cr1 0.000 0.034 0.000

Computed properties:
Total energy ... -12.4474 eV per atom
E_form ... 0.45 eV/f.u.
DOS(E_F) ... 3.264 states/eV/f.u.

[2]
First-principles (PBEsol) data for an optimized crystal structure of LaReW, as listed in Alexandria.

Cell lengths 4.536, 4.536, 4.536 Å; angles 60.00, 60.00, 60.00 degrees
Positions (direct):
La1 0.500 0.500 0.500
Re1 0.250 0.250 0.250
W1 0.000 0.000 0.000

Computed properties:
Total energy ... -9.8877 eV per atom
E_form ... 2.82 eV/f.u.
DOS(E_F) ... 3.007 states/eV/f.u.

[3]
First-principles (PBEsol) data for an optimized crystal structure of CuSi2Te, as listed in Alexandria.

Cell lengths 4.494, 4.651, 4.494 Å; angles 61.11, 90.00, 118.89 degrees
Positions (direct):
Te1 0.500 0.000 0.500
Si1 0.250 0.500 0.250
Si2 0.000 0.000 0.000
Cu1 0.750 0.500 0.750

Computed properties:
Total energy ... -4.2928 eV per atom
Energy relative to the elements, uncorrected ... 546 meV/atom
DOS(E_F) ... 2.072 states/eV/f.u.

[4]
First-principles (PBEsol) data for an optimized crystal structure of HfTePI2, as listed in Alexandria.

Cell lengths 5.214, 5.214, 5.211 Å; angles 90.00, 90.00, 90.00 degrees
Site moments in Bohr magnetons follow the coordinates.
Positions (direct):
Te1 0.000 0.000 0.500  -0.04
I1 0.500 0.000 0.000  -0.02
I2 0.000 0.500 0.000  -0.02
P1 0.000 0.000 0.000  0.00
Hf1 0.500 0.500 0.500  0.94

Computed properties:
Total energy ... -3.9795 eV per atom
Energy relative to the elements, uncorrected ... 691 meV/atom
DOS(E_F) ... 3.623 states/eV/f.u.

[5]
First-principles (PBEsol) data for an optimized crystal structure of CuTe2HW, as listed in Alexandria.

Cell lengths 3.204, 5.101, 5.101 Å; angles 90.00, 90.00, 90.00 degrees
Site moments in Bohr magnetons follow the coordinates.
Positions (direct):
Te1 0.000 0.500 0.000  -0.01
Te2 0.000 0.000 0.500  -0.01
W1 0.500 0.500 0.500  1.11
Cu1 0.000 0.000 0.000  0.02
H1 0.500 0.000 0.000  0.01

Computed properties:
Total energy ... -4.9976 eV per atom
DOS(E_F) ... 4.143 states/eV/f.u.

[6]
First-principles (PBEsol) data for an optimized crystal structure of CsNa2Sb2, as listed in Alexandria.

Cell lengths 3.289, 9.680, 9.680 Å; angles 90.00, 90.00, 90.00 degrees
Positions (direct):
Na1 0.000 0.126 0.374
Na2 0.000 0.374 0.874
Na3 0.000 0.874 0.626
Na4 0.000 0.626 0.126
Sb1 0.500 0.835 0.335
Sb2 0.500 0.665 0.835
Sb3 0.500 0.165 0.665
Sb4 0.500 0.335 0.165
Cs1 0.000 0.000 0.000
Cs2 0.000 0.500 0.500

Computed properties:
Offset from the most stable computed form ... 0.10 eV/f.u.
Total energy ... -2.9149 eV per atom
Energy relative to the elements, uncorrected ... -344 meV/atom
DOS(E_F) ... 2.882 states/eV/f.u.

[7]
First-principles (PBEsol) data for an optimized crystal structure of TaNiHRu2, as listed in Alexandria.

Cell lengths 3.653, 3.913, 3.913 Å; angles 90.00, 90.00, 90.00 degrees
Positions (direct):
Ta1 0.500 0.500 0.500
H1 0.000 0.000 0.000
Ni1 0.500 0.000 0.000
Ru1 0.000 0.500 0.000
Ru2 0.000 0.000 0.500

Computed properties:
Total energy ... -8.7525 eV per atom
DOS(E_F) ... 2.267 states/eV/f.u.

[8]
First-principles (PBEsol) data for an optimized crystal structure of Ca2WAu, as listed in Alexandria.

Cell lengths 2.929, 5.495, 5.982 Å; angles 110.27, 104.17, 90.00 degrees
Positions (direct):
Ca1 0.229 0.688 0.459
Ca2 0.030 0.079 0.059
Au1 0.776 0.199 0.552
W1 0.465 0.535 0.930

Computed properties:
Offset from the most stable computed form ... 0.00 eV/f.u.
Total energy ... -5.1177 eV per atom
E_form ... 1.53 eV/f.u.
DOS(E_F) ... 3.767 states/eV/f.u.

[9]
First-principles (PBEsol) data for an optimized crystal structure of BaSr3In, as listed in Alexandria.

Cell lengths 6.414, 6.414, 6.414 Å; angles 90.00, 90.00, 90.00 degrees
Positions (direct):
In1 0.000 0.000 0.000
Sr1 0.500 0.000 0.000
Sr2 0.000 0.000 0.500
Sr3 0.000 0.500 0.000
Ba1 0.500 0.500 0.500

Computed properties:
Total energy ... -2.1841 eV per atom
E_form ... -0.27 eV/f.u.
DOS(E_F) ... 6.016 states/eV/f.u.

[10]
First-principles (PBEsol) data for an optimized crystal structure of CaFeNi, as listed in Alexandria.

Cell lengths 4.243, 4.243, 4.243 Å; angles 60.00, 60.00, 60.00 degrees
Site moments in Bohr magnetons follow the coordinates.
Positions (direct):
Fe1 0.250 0.250 0.250  2.58
Ca1 0.500 0.500 0.500  -0.03
Ni1 0.000 0.000 0.000  0.68

Computed properties:
Total energy ... -5.0244 eV per atom
E_form ... 2.18 eV/f.u.
DOS(E_F) ... 3.116 states/eV/f.u.

[11]
First-principles (PBEsol) data for an optimized crystal structure of AlAs2Pb, as listed in Alexandria.

Cell lengths 3.443, 5.302, 5.679 Å; angles 117.83, 107.65, 90.00 degrees
Positions (direct):
Al1 0.279 0.779 0.559
Pb1 0.505 0.505 0.009
As1 0.711 0.211 0.422
As2 0.005 0.005 0.010

Computed properties:
Offset from the most stable computed form ... 0.94 eV/f.u.
Total energy ... -4.3862 eV per atom
E_form ... 0.76 eV/f.u.
DOS(E_F) ... 2.053 states/eV/f.u.

[12]
First-principles (PBEsol) data for an optimized crystal structure of AlTl2Pb, as listed in Alexandria.

Cell lengths 3.300, 5.716, 6.434 Å; angles 115.24, 103.05, 93.97 degrees
Positions (direct):
Tl1 0.000 0.000 0.500
Tl2 0.500 0.500 0.500
Al1 0.500 0.000 0.000
Pb1 0.000 0.500 0.000

Computed properties:
Offset from the most stable computed form ... 0.03 eV/f.u.
Total energy ... -3.1456 eV per atom
E_form ... 0.77 eV/f.u.
DOS(E_F) ... 2.096 states/eV/f.u.

[13]
First-principles (PBEsol) data for an optimized crystal structure of KPrS2, as listed in Alexandria.

Cell lengths 4.168, 4.168, 7.669 Å; angles 74.23, 74.23, 60.00 degrees
Positions (direct):
S1 0.737 0.737 0.789
S2 0.263 0.263 0.211
Pr1 0.000 0.000 0.000
K1 0.500 0.500 0.500

Computed properties:
Total energy ... -5.6197 eV per atom
Energy relative to the elements, uncorrected ... -1848 meV/atom
DOS(E_F) ... 0.000 states/eV/f.u.

[14]
First-principles (PBEsol) data for an optimized crystal structure of SrInH2, as listed in Alexandria.

Cell lengths 4.493, 4.493, 4.493 Å; angles 60.00, 60.00, 60.00 degrees
Positions (direct):
Sr1 0.000 0.000 0.000
H1 0.250 0.250 0.250
H2 0.750 0.750 0.750
In1 0.500 0.500 0.500

Computed properties:
Total energy ... -2.8470 eV per atom
DOS(E_F) ... 2.435 states/eV/f.u.

[15]
First-principles (PBEsol) data for an optimized crystal structure of Mn2SnPdW, as listed in Alexandria.

Cell lengths 4.499, 4.499, 5.128 Å; angles 90.00, 90.00, 90.00 degrees
Site moments in Bohr magnetons follow the coordinates.
Positions (direct):
Mn1 0.000 0.500 0.000  2.85
Mn2 0.500 0.000 0.000  2.85
Sn1 0.000 0.000 0.500  0.03
W1 0.000 0.000 0.000  -0.56
Pd1 0.500 0.500 0.500  0.03

Computed properties:
Total energy ... -7.3542 eV per atom
E_form ... 6.78 eV/f.u.
DOS(E_F) ... 3.470 states/eV/f.u.

[16]
First-principles (PBEsol) data for an optimized crystal structure of BeCu3Mo, as listed in Alexandria.

Cell lengths 3.911, 3.911, 3.911 Å; angles 90.00, 90.00, 90.00 degrees
Positions (direct):
Mo1 0.500 0.500 0.500
Cu1 0.500 0.000 0.000
Cu2 0.000 0.500 0.000
Cu3 0.000 0.000 0.500
Be1 0.000 0.000 0.000

Computed properties:
Total energy ... -5.1351 eV per atom
E_form ... 3.09 eV/f.u.
DOS(E_F) ... 2.125 states/eV/f.u.

[17]
First-principles (PBEsol) data for an optimized crystal structure of BaAgO2, as listed in Alexandria.

Cell lengths 3.840, 4.302, 8.876 Å; angles 90.00, 102.49, 90.00 degrees
Positions (direct):
Ag1 0.937 0.750 0.874
Ag2 0.063 0.250 0.126
O1 0.182 0.250 0.365
O2 0.943 0.250 0.885
O3 0.057 0.750 0.115
O4 0.818 0.750 0.635
Ba1 0.332 0.250 0.664
Ba2 0.668 0.750 0.336

Computed properties:
Total energy ... -5.4000 eV per atom
Energy relative to the elements, uncorrected ... -1410 meV/atom
DOS(E_F) ... 0.519 states/eV/f.u.

[18]
First-principles (PBEsol) data for an optimized crystal structure of HgRh, as listed in Alexandria.

Cell lengths 4.198, 4.198, 4.198 Å; angles 60.00, 60.00, 60.00 degrees
Site moments in Bohr magnetons follow the coordinates.
Positions (direct):
Rh1 0.750 0.750 0.750  0.26
Hg1 0.000 0.000 0.000  0.01

Computed properties:
Total energy ... -2.9809 eV per atom
E_form ... 2.74 eV/f.u.
DOS(E_F) ... 5.564 states/eV/f.u.

[19]
First-principles (PBEsol) data for an optimized crystal structure of CdFeSb2I, as listed in Alexandria.

Cell lengths 5.396, 5.396, 5.673 Å; angles 90.00, 90.00, 90.00 degrees
Site moments in Bohr magnetons follow the coordinates.
Positions (direct):
Fe1 0.500 0.500 0.500  3.40
Cd1 0.000 0.000 0.000  0.00
Sb1 0.500 0.000 0.000  -0.07
Sb2 0.000 0.500 0.000  -0.07
I1 0.000 0.000 0.500  -0.01

Computed properties:
Total energy ... -2.9245 eV per atom
Energy relative to the elements, uncorrected ... 1284 meV/atom
DOS(E_F) ... 9.114 states/eV/f.u.

[20]
First-principles (PBEsol) data for an optimized crystal structure of Te2IrBr, as listed in Alexandria.

Cell lengths 3.134, 5.151, 5.151 Å; angles 90.00, 90.00, 90.00 degrees
Positions (direct):
Br1 0.500 0.500 0.500
Te1 0.000 0.000 0.500
Te2 0.000 0.500 0.000
Ir1 0.500 0.000 0.000

Computed properties:
Offset from the most stable computed form ... 3.33 eV/f.u.
Total energy ... -4.0894 eV per atom
Energy relative to the elements, uncorrected ... 597 meV/atom
DOS(E_F) ... 2.588 states/eV/f.u.

[21]
First-principles (PBEsol) data for an optimized crystal structure of KVOF3, as listed in Alexandria.

Cell lengths 7.171, 7.498, 13.114 Å; angles 90.00, 90.00, 90.00 degrees
Site moments in Bohr magnetons follow the coordinates.
Positions (direct):
V1 0.865 0.497 0.104  1.00
V2 0.635 0.997 0.604  1.00
V3 0.365 0.003 0.396  1.00
V4 0.635 0.503 0.604  1.00
V5 0.865 0.003 0.104  1.00
V6 0.135 0.997 0.896  1.00
V7 0.135 0.503 0.896  1.00
V8 0.365 0.497 0.396  1.00
O1 0.878 0.037 0.225  -0.09
O2 0.378 0.037 0.275  -0.09
O3 0.622 0.537 0.725  -0.09
O4 0.878 0.463 0.225  -0.09
O5 0.122 0.963 0.775  -0.09
O6 0.122 0.537 0.775  -0.09
O7 0.378 0.463 0.275  -0.09
O8 0.622 0.963 0.725  -0.09
F1 0.567 0.250 0.608  0.01
F2 0.116 0.945 0.419  0.02
F3 0.377 0.963 0.562  0.01
F4 0.116 0.555 0.419  0.02
F5 0.384 0.055 0.919  0.02
F6 0.877 0.537 0.938  0.01
F7 0.616 0.555 0.081  0.02
F8 0.884 0.445 0.581  0.02
F9 0.884 0.055 0.581  0.02
F10 0.433 0.750 0.392  0.01
F11 0.384 0.445 0.919  0.02
F12 0.623 0.463 0.438  0.01
F13 0.123 0.037 0.062  0.01
F14 0.616 0.945 0.081  0.02
F15 0.933 0.750 0.108  0.01
F16 0.377 0.537 0.562  0.01
F17 0.877 0.963 0.938  0.01
F18 0.202 0.750 0.938  0.01
F19 0.798 0.250 0.062  0.01
F20 0.067 0.250 0.892  0.01
F21 0.623 0.037 0.438  0.01
F22 0.702 0.750 0.562  0.01
F23 0.123 0.463 0.062  0.01
F24 0.298 0.250 0.438  0.01
K1 0.327 0.750 0.142  0.00
K2 0.827 0.750 0.358  0.00
K3 0.410 0.250 0.106  0.00
K4 0.090 0.750 0.606  0.00
K5 0.173 0.250 0.642  0.00
K6 0.590 0.750 0.894  0.00
K7 0.673 0.250 0.858  0.00
K8 0.910 0.250 0.394  0.00

Computed properties:
Total energy ... -6.4154 eV per atom
Energy relative to the elements, uncorrected ... -2782 meV/atom

[22]
First-principles (PBEsol) data for an optimized crystal structure of Pr3Pd4, as listed in Alexandria.

Cell lengths 5.765, 8.081, 8.081 Å; angles 114.53, 103.76, 103.76 degrees
Positions (direct):
Pr1 0.595 0.877 0.623
Pr2 0.282 0.253 0.877
Pr3 0.405 0.123 0.377
Pr4 0.718 0.747 0.123
Pr5 0.028 0.623 0.747
Pr6 0.972 0.377 0.253
Pd1 0.780 0.334 0.836
Pd2 0.944 0.164 0.498
Pd3 0.220 0.666 0.164
Pd4 0.446 0.502 0.666
Pd5 0.000 0.000 0.000
Pd6 0.500 0.000 0.000
Pd7 0.554 0.498 0.334
Pd8 0.056 0.836 0.502

Computed properties:
Total energy ... -6.3713 eV per atom
E_form ... -5.21 eV/f.u.
DOS(E_F) ... 3.501 states/eV/f.u.

[23]
First-principles (PBEsol) data for an optimized crystal structure of NaNbAu3, as listed in Alexandria.

Cell lengths 5.101, 5.101, 5.101 Å; angles 90.00, 90.00, 90.00 degrees
Positions (direct):
Au1 0.000 0.000 0.500
Au2 0.000 0.500 0.000
Au3 0.500 0.000 0.000
Nb1 0.000 0.000 0.000
Na1 0.500 0.500 0.500

Computed properties:
Offset from the most stable computed form ... 0.00 eV/f.u.
Total energy ... -4.1962 eV per atom
E_form ... 3.01 eV/f.u.
DOS(E_F) ... 3.488 states/eV/f.u.

[24]
First-principles (PBEsol) data for an optimized crystal structure of Mg2Co, as listed in Alexandria.

Cell lengths 2.911, 2.911, 6.767 Å; angles 90.00, 90.00, 120.00 degrees
Site moments in Bohr magnetons follow the coordinates.
Positions (direct):
Co1 0.000 0.000 0.000  1.24
Mg1 0.333 0.667 0.297  -0.01
Mg2 0.667 0.333 0.703  -0.01

Computed properties:
Total energy ... -3.4365 eV per atom
E_form ... 0.86 eV/f.u.
DOS(E_F) ... 2.801 states/eV/f.u.

[25]
First-principles (PBEsol) data for an optimized crystal structure of Hg2SbPt, as listed in Alexandria.

Cell lengths 3.182, 3.182, 9.785 Å; angles 80.64, 80.64, 60.00 degrees
Positions (direct):
Hg1 0.240 0.240 0.280
Hg2 0.760 0.760 0.720
Sb1 0.000 0.000 0.000
Pt1 0.500 0.500 0.500

Computed properties:
Total energy ... -2.9702 eV per atom
Energy relative to the elements, uncorrected ... 193 meV/atom
DOS(E_F) ... 1.868 states/eV/f.u.

[26]
First-principles (PBEsol) data for an optimized crystal structure of TlSbPb2, as listed in Alexandria.

Cell lengths 4.069, 4.069, 6.983 Å; angles 90.00, 90.00, 90.00 degrees
Positions (direct):
Pb1 0.000 0.000 0.000
Pb2 0.500 0.500 0.269
Tl1 0.500 0.500 0.745
Sb1 0.000 0.000 0.485

Computed properties:
Offset from the most stable computed form ... 0.09 eV/f.u.
Total energy ... -3.7608 eV per atom
Energy relative to the elements, uncorrected ... 35 meV/atom
DOS(E_F) ... 2.016 states/eV/f.u.

[27]
First-principles (PBEsol) data for an optimized crystal structure of Cs3RbZr, as listed in Alexandria.

Cell lengths 7.286, 7.286, 7.286 Å; angles 90.00, 90.00, 90.00 degrees
Site moments in Bohr magnetons follow the coordinates.
Positions (direct):
Rb1 0.500 0.500 0.500  0.00
Cs1 0.000 0.000 0.500  0.06
Cs2 0.500 0.000 0.000  0.06
Cs3 0.000 0.500 0.000  0.06
Zr1 0.000 0.000 0.000  1.83

Computed properties:
Total energy ... -1.7177 eV per atom
E_form ... 4.35 eV/f.u.
DOS(E_F) ... 4.030 states/eV/f.u.